1.
# NaSmNp2Te4 | Alexandria via LeMat-Bulk | GGA-PBE | relaxed
# - Magnetic moment: 0.0 μB/cell
data_NaSmNp2Te4
_symmetry_space_group_name_H-M 'P 1 2/m 1'
_symmetry_Int_Tables_number 10
_cell_length_a 7.6954
_cell_length_b 4.4207
_cell_length_c 7.7873
_cell_angle_alpha 90.00
_cell_angle_beta 109.35
_cell_angle_gamma 90.00
loop_
_symmetry_equiv_pos_as_xyz
'x,y,z'
'-x,-y,-z'
'-x,y,-z'
'x,-y,z'
loop_
_atom_site_label
_atom_site_fract_x
_atom_site_fract_y
_atom_site_fract_z
_atom_site_occupancy
Na1 0.0000 0.0000 0.0000 1
Sm1 0.0000 0.5000 0.5000 1
Np1 0.5000 0.0000 0.5000 1
Np2 0.5000 0.5000 0.0000 1
Te1 0.2516 0.0000 0.7520 1
Te2 0.2519 0.5000 0.2527 1



2.
# NiBIN2 | Alexandria via LeMat-Bulk | GGA-PBE | relaxed
# - Magnetic moment: 0.0 μB/cell
# - Offset from the most stable computed form: 0 meV/atom
data_NiBIN2
_symmetry_space_group_name_H-M 'P 4/m m m'
_symmetry_Int_Tables_number 123
_symmetry_space_group_name_Hall '-P 4 2'
_cell_length_a 3.3173
_cell_length_b 3.3173
_cell_length_c 7.5385
_cell_angle_alpha 90.00
_cell_angle_beta 90.00
_cell_angle_gamma 90.00
loop_
_atom_site_label
_atom_site_fract_x
_atom_site_fract_y
_atom_site_fract_z
_atom_site_occupancy
Ni1 0.0000 0.0000 0.0000 1
B1 0.5000 0.5000 0.5000 1
I1 0.5000 0.5000 0.0000 1
N1 0.0000 0.5000 0.5000 1



In eV per atom, the VASP energy values for the records above are, in order, -6.441, -4.765.
In eV/atom, the energy relative to the elements, uncorrected values for the records above are, in order, -0.88, 1.37.
In Å³/atom, the volume values for the records above are, in order, 31.2, 16.6.